## w
Material: NdYIn
Method: DFT, PBE
State: relaxed

M_tot: 0.00 μB per formula unit
D(E_F): 2.209 states/eV/f.u.

abc: 3.736 5.296 5.296
angles: 120.00 90.00 90.00
Positions (direct):
Y (0.920, 0.000, 0.000)
In (0.716, 0.667, 0.333)
Nd (0.365, 0.333, 0.667)

***

## x
Material: NdYIn
Method: DFT, PBE
State: relaxed

M_tot: 0.00 μB per formula unit
D(E_F): 2.880 states/eV/f.u.

abc: 3.613 3.613 7.432
angles: 104.07 104.07 90.00
Positions (direct):
In (0.946, 0.946, 0.892)
Y (0.299, 0.299, 0.598)
Nd (0.605, 0.605, 0.211)

***

## y
Material: NdYIn
Method: DFT, PBE
State: relaxed

M_tot: 0.00 μB per formula unit
D(E_F): 3.172 states/eV/f.u.

abc: 5.504 5.504 6.787
angles: 90.00 90.00 119.99
Positions (direct):
Y (0.333, 0.167, 0.250)
Nd (0.000, 0.500, 0.500)
Nd (0.000, 0.500, 0.000)
Y (0.667, 0.833, 0.750)
In (0.667, 0.833, 0.250)
In (0.333, 0.167, 0.750)

***

## z
Material: NdYIn
Method: DFT, PBE
State: relaxed

M_tot: 0.00 μB per formula unit
D(E_F): 2.930 states/eV/f.u.

abc: 3.460 8.374 6.153
angles: 90.00 90.00 90.00
Positions (direct):
Y (0.000, 0.119, 0.750)
Y (0.000, 0.881, 0.250)
Nd (0.000, 0.500, 0.000)
In (0.500, 0.205, 0.250)
Nd (0.000, 0.500, 0.500)
In (0.500, 0.795, 0.750)

***

What should be chosen as the least stable of them? Choose z.

***

## w
Material: NdY3In
Method: DFT, PBE
State: relaxed

M_tot: 0.00 μB per formula unit
D(E_F): 6.642 states/eV/f.u.

abc: 7.885 7.885 14.283
angles: 98.00 98.00 49.94
Positions (direct):
In (0.250, 0.750, 0.750)
Y (0.788, 0.287, 0.463)
In (0.000, 0.500, 0.500)
Y (0.342, 0.344, 0.844)
Y (0.658, 0.656, 0.156)
Y (0.344, 0.342, 0.343)
Nd (0.137, 0.635, 0.114)
Y (0.844, 0.843, 0.343)
Y (0.656, 0.658, 0.657)
Y (0.287, 0.788, 0.963)
Y (0.713, 0.212, 0.037)
Nd (0.365, 0.863, 0.386)
Y (0.843, 0.844, 0.843)
Nd (0.863, 0.365, 0.886)
Y (0.156, 0.157, 0.657)
Y (0.157, 0.156, 0.157)
Nd (0.635, 0.137, 0.614)
In (0.500, 0.000, 0.000)
Y (0.212, 0.713, 0.537)
In (0.750, 0.250, 0.250)

***

## x
Material: NdY3In
Method: DFT, PBE
State: relaxed

M_tot: 0.69 μB per formula unit
D(E_F): 7.323 states/eV/f.u.

abc: 4.907 4.898 12.860
angles: 90.00 79.00 90.00
Site moments in Bohr magnetons follow the coordinates.
Positions (direct):
In (0.670, 0.750, 0.307)  -0.01
Y (0.771, 0.250, 0.106)  0.04
Y (0.373, 0.250, 0.902)  0.04
Y (0.074, 0.750, 0.501)  0.18
In (0.978, 0.250, 0.693)  -0.01
Y (0.877, 0.750, 0.894)  0.04
Y (0.275, 0.750, 0.098)  0.04
Nd (0.473, 0.750, 0.702)  0.12
Nd (0.175, 0.250, 0.298)  0.12
Y (0.574, 0.250, 0.499)  0.18

***

What should be chosen as the least stable of them? Choose w.

***

## w
Material: NdY3In2
Method: DFT, PBE
State: relaxed

M_tot: 0.60 μB per formula unit
D(E_F): 6.111 states/eV/f.u.

abc: 5.422 9.302 9.252
angles: 124.60 90.00 106.94
Site moments in Bohr magnetons follow the coordinates.
Positions (direct):
Y (0.383, 0.766, 0.308)  0.11
Y (0.307, 0.614, 0.609)  0.03
In (0.519, 0.038, 0.871)  0.00
Y (0.617, 0.234, 0.692)  0.11
Y (0.693, 0.386, 0.391)  0.03
In (0.226, 0.452, 0.857)  0.00
Nd (0.869, 0.738, 0.912)  0.01
Y (0.059, 0.118, 0.403)  0.13
Y (0.941, 0.882, 0.597)  0.13
In (0.774, 0.548, 0.143)  0.00
In (0.481, 0.962, 0.129)  0.00
Nd (0.131, 0.262, 0.088)  0.01

***

## x
Material: NdY3In2
Method: DFT, PBE
State: relaxed

M_tot: 0.00 μB per formula unit
D(E_F): 6.101 states/eV/f.u.

abc: 5.266 6.770 9.886
angles: 90.00 90.00 90.00
Positions (direct):
In (0.500, 0.714, 0.858)
Y (0.500, 0.687, 0.177)
Y (0.000, 0.970, 0.040)
Y (0.000, 0.812, 0.683)
Nd (0.500, 0.534, 0.537)
Y (0.000, 0.470, 0.960)
In (0.000, 0.283, 0.647)
In (0.000, 0.783, 0.353)
In (0.500, 0.214, 0.142)
Y (0.500, 0.187, 0.823)
Y (0.000, 0.312, 0.317)
Nd (0.500, 0.034, 0.463)

***

What should be chosen as the least stable of them? Choose w.

***

## w
Material: Nd5YIn4
Method: DFT, PBE
State: relaxed

M_tot: 0.00 μB per formula unit
D(E_F): 10.101 states/eV/f.u.

abc: 8.768 8.390 9.228
angles: 90.00 90.00 90.00
Positions (direct):
Nd (0.733, 0.743, 0.694)
Nd (0.267, 0.757, 0.806)
Nd (0.267, 0.243, 0.194)
Nd (0.267, 0.243, 0.806)
Nd (0.658, 0.500, 0.000)
Nd (0.733, 0.743, 0.306)
In (0.993, 0.500, 0.839)
In (0.436, 0.661, 0.500)
Nd (0.733, 0.257, 0.306)
In (0.564, 0.161, 0.000)
Y (0.083, 0.500, 0.500)
In (0.007, 0.000, 0.661)
In (0.436, 0.339, 0.500)
In (0.993, 0.500, 0.161)
Y (0.917, 0.000, 0.000)
In (0.007, 0.000, 0.339)
Nd (0.342, 0.000, 0.500)
Nd (0.267, 0.757, 0.194)
Nd (0.733, 0.257, 0.694)
In (0.564, 0.839, 0.000)

***

## x
Material: Nd5YIn4
Method: DFT, PBE
State: relaxed

M_tot: 0.00 μB per formula unit
D(E_F): 10.971 states/eV/f.u.

abc: 3.656 3.656 22.572
angles: 90.00 90.00 90.00
Positions (direct):
In (0.000, 0.000, 0.596)
Y (0.000, 0.000, 0.000)
In (0.000, 0.000, 0.211)
Nd (0.500, 0.500, 0.116)
Nd (0.500, 0.500, 0.500)
Nd (0.500, 0.500, 0.884)
Nd (0.500, 0.500, 0.307)
In (0.000, 0.000, 0.404)
Nd (0.500, 0.500, 0.693)
In (0.000, 0.000, 0.789)

***

What should be chosen as the least stable of them? Choose w.